Record 1
The following is a DFT calculation (GGA-PBE) of crystalline KAlPb at its relaxed geometry.

abc: 4.6175 4.6175 8.4511
angles: 90.00 90.00 90.00
Fractional positions:
Al 0.5000 0.0000 0.1638
Al 0.0000 0.5000 0.8362
K 0.0000 0.0000 0.5000
K 0.5000 0.5000 0.5000
Pb 0.0000 0.5000 0.1652
Pb 0.5000 0.0000 0.8348

Properties
Magnetization   0.00 μB per cell
V   30.0 Å³ per atom
Energy of formation from the pure elements   0.2586 eV/atom

---

Record 2
The following is a DFT calculation (GGA-PBE) of crystalline ZrWCl2 at its relaxed geometry.

abc: 7.1463 7.1463 4.6486
angles: 86.75 86.75 25.75
Each line ends with the local moment (μB).
Fractional positions:
W 0.7500 0.7500 0.7500  0.37
Zr 0.2500 0.2500 0.2500  -0.02
Cl 0.8920 0.8920 0.0268  0.01
Cl 0.6080 0.6080 0.4732  0.01

Properties
Magnetization   0.50 μB per cell
V   25.7 Å³ per atom
Formation energy from raw total energies   -0.267 eV per atom
Relative energy among the computed polymorphs   0.96 eV per formula unit

---

Record 3
The following is a DFT calculation (GGA-PBE) of crystalline LaRe2Pd at its relaxed geometry.

abc: 4.6601 4.6601 4.6601
angles: 60.00 60.00 60.00
Fractional positions:
Pd 0.0000 0.0000 0.0000
Re 0.7500 0.7500 0.7500
Re 0.2500 0.2500 0.2500
La 0.5000 0.5000 0.5000

Properties
Magnetization   0.00 μB per cell
V   17.9 Å³ per atom
Relative energy among the computed polymorphs   1.46 eV per formula unit
Energy of formation from the pure elements   0.8723 eV/atom

---

Record 4
The following is a DFT calculation (GGA-PBE) of crystalline NbAlGe at its relaxed geometry.

abc: 2.7551 4.5738 4.5738
angles: 120.00 90.00 90.00
Fractional positions:
Nb 0.6659 0.3333 0.6667
Ge 0.1676 0.6667 0.3333
Al 0.1664 0.0000 0.0000

Properties
Magnetization   0.00 μB per cell
V   16.6 Å³ per atom
Energy of formation from the pure elements   -0.0704 eV/atom

---

Record 5
The following is a DFT calculation (GGA-PBE) of crystalline LaScAlHg at its relaxed geometry.

abc: 5.2245 5.2245 5.2245
angles: 60.00 60.00 60.00
Fractional positions:
La 0.5000 0.5000 0.5000
Hg 0.2500 0.2500 0.2500
Al 0.7500 0.7500 0.7500
Sc 0.0000 0.0000 0.0000

Properties
Magnetization   0.00 μB per cell
V   25.2 Å³ per atom
Energy of formation from the pure elements   -0.3519 eV/atom

---

Record 6
The following is a DFT calculation (GGA-PBE) of crystalline Sr3Ge3Au2 at its relaxed geometry.

abc: 4.5363 6.2208 16.2066
angles: 90.00 90.00 111.38
Fractional positions:
Ge 0.4171 0.8342 0.9522
Ge 0.5829 0.1658 0.4522
Ge 0.5829 0.1658 0.0478
Ge 0.4171 0.8342 0.5478
Ge 0.7109 0.4219 0.7500
Ge 0.2891 0.5781 0.2500
Sr 0.1390 0.2780 0.9016
Sr 0.5787 0.1575 0.2500
Sr 0.8610 0.7220 0.0984
Sr 0.1390 0.2780 0.5984
Sr 0.4213 0.8425 0.7500
Sr 0.8610 0.7220 0.4016
Au 0.8485 0.6970 0.6167
Au 0.8485 0.6970 0.8833
Au 0.1515 0.3030 0.1167
Au 0.1515 0.3030 0.3833

Properties
Magnetization   0.00 μB per cell
V   26.6 Å³ per atom
Energy of formation from the pure elements   -0.6627 eV/atom

---

Record 7
The following is a DFT calculation (GGA-PBE) of crystalline Li5Mg7 at its relaxed geometry.

abc: 4.9011 5.7415 10.2985
angles: 75.40 76.23 64.73
Fractional positions:
Mg 0.9118 0.4308 0.7456
Mg 0.5973 0.0646 0.7408
Mg 0.3419 0.3247 0.9915
Mg 0.6581 0.6753 0.0085
Mg 0.4027 0.9354 0.2592
Mg 0.5000 0.5000 0.5000
Mg 0.0882 0.5692 0.2544
Li 0.1692 0.1489 0.5127
Li 0.2472 0.7498 0.7558
Li 0.7528 0.2502 0.2442
Li 0.0000 0.0000 0.0000
Li 0.8308 0.8511 0.4873

Properties
Magnetization   0.00 μB per cell
V   20.9 Å³ per atom
Relative energy among the computed polymorphs   0.00 eV per formula unit
Energy of formation from the pure elements   -0.0517 eV/atom

---

Record 8
The following is a DFT calculation (GGA-PBE) of crystalline Cr2InBr at its relaxed geometry.

abc: 5.0819 5.0819 5.0819
angles: 60.00 60.00 60.00
Each line ends with the local moment (μB).
Fractional positions:
Cr 0.2500 0.2500 0.2500  3.94
Cr 0.0000 0.0000 0.0000  3.91
Br 0.5000 0.5000 0.5000  0.07
In 0.7500 0.7500 0.7500  -0.05

Properties
Magnetization   8.96 μB per cell
V   23.2 Å³ per atom
Formation energy from raw total energies   0.928 eV per atom
Relative energy among the computed polymorphs   2.85 eV per formula unit

---

Results for ρ: 5.04 5.58 14.33 6.41 6.78 6.82 1.36 5.35 (in g/cm3, following the order of the records).